Entry 1:
This record from Alexandria via LeMat-Bulk describes a geometry-optimized Ca4MnHg structure. The functional is PBE.

```
6
Lattice="-4.259 0.406 5.106 -6.565 -0.180 -1.116 -3.542 -5.341 1.816" Properties=species:S:1:pos:R:3 pbc="T T T"
Hg -10.774 -3.836 4.354
Ca -7.517 -1.713 4.734
Ca -8.673 -2.007 1.616
Ca -5.383 -1.917 2.176
Mn 0.000 0.000 0.000
Ca -7.158 -4.593 3.086
```

Output
As for the formation energy: 0.56 eV/atom. For the density of states at the Fermi level, the calculation gives 7.1 states/eV/f.u. The total energy is -2.352 eV per atom. The crystal system is cubic.

---

Entry 2:
This record from Alexandria via LeMat-Bulk describes a geometry-optimized Ce5SeS4 structure. The functional is PBE.

```
10
Lattice="-0.775 2.766 -2.848 0.964 -3.922 -4.071 -9.892 -1.999 3.623" Properties=species:S:1:pos:R:3 pbc="T T T"
Ce -7.257 -3.997 -1.906
Ce -6.276 -0.166 -1.326
S -3.962 -1.042 0.066
S -5.742 -2.113 -3.362
Ce -3.428 -2.990 -1.970
S -1.866 -1.094 -3.427
Se 0.000 0.000 0.000
Ce -2.446 0.841 -1.390
Ce 0.482 -1.961 -2.035
S -7.838 -2.062 0.131
```

Output
For the density of states at the Fermi level, the calculation gives 23.5 states/eV/f.u. The total energy is -6.956 eV per atom. The crystal system is orthorhombic.

---

Entry 3:
This record from Alexandria via LeMat-Bulk describes a geometry-optimized LaTaCo2 structure. The functional is PBE.

```
4
Lattice="3.120 0.000 0.000 0.000 3.083 0.012 0.000 3.088 7.239" Properties=species:S:1:pos:R:3 pbc="T T T"
Co 0.000 3.087 4.078
Ta 1.560 4.628 5.438
Co 0.000 3.086 6.786
La 1.560 1.543 1.813
```

Output
As for the formation energy: -0.08 eV/atom. The calculation puts the energy above the most stable polymorph in this dataset at 0.000 eV/atom. For the density of states at the Fermi level, the calculation gives 3.7 states/eV/f.u. The total energy is -7.824 eV per atom. The crystal system is monoclinic.

---

Sequential mass density output: 3.30; 6.41; 10.46 g/cm3
Sequential calculated volume output: 209.0; 235.1; 69.5 Å³ per cell